(1)
Entry from Alexandria: BaLiMgGe2 after structural relaxation (GGA-PBE).

Results
- Calculated total energy: -3.3985 eV/atom
- Size of the total moment: 0.00 μB/cell

Lattice parameters (Å, degrees): 4.658 4.658 11.254 90.00 90.00 90.00
Space group I-4m2 (No. 119)
One atom of each set of equivalent atoms:
Ba 0.000 0.000 0.000 x2
Li 0.000 0.500 0.750 x2
Mg 0.000 0.500 0.250 x2
Ge 0.000 0.000 0.387 x4

(2)
Entry from Alexandria: Sr2ThTe4 after structural relaxation (GGA-PBE).

Results
- Distance to the lowest polymorph of the same formula: 73.1 meV/atom
- Size of the total moment: 0.00 μB/cell

Lattice parameters (Å, degrees): 4.418 15.621 15.517 90.00 90.00 90.00
Space group Cmcm (No. 63)
One atom of each set of equivalent atoms:
Sr 0.000 0.130 0.070 x8
Th 0.000 0.376 0.250 x4
Te 0.000 0.018 0.250 x4
Te 0.000 0.216 0.628 x8
Te 0.000 0.500 0.000 x4